# TiBeIrAu | the Alexandria database | PBE | relaxed
# - energy of formation from the pure elements (eV per atom) = -0.361
# - total magnetization (μB per cell) = 0.0
data_TiBeIrAu
_cell_length_a 6.1294
_cell_length_b 6.1294
_cell_length_c 6.1294
_cell_angle_alpha 90.00
_cell_angle_beta 90.00
_cell_angle_gamma 90.00
_space_group_name_H-M_alt 'P 1'
_space_group_IT_number 1
loop_
_space_group_symop_operation_xyz
'x,y,z'
loop_
_atom_site_label
_atom_site_fract_x
_atom_site_fract_y
_atom_site_fract_z
Ti1 0.0000 0.0000 0.0000
Ti2 0.0000 0.5000 0.5000
Ti3 0.5000 0.0000 0.5000
Ti4 0.5000 0.5000 0.0000
Be1 0.0000 0.0000 0.5000
Be2 0.0000 0.5000 0.0000
Be3 0.5000 0.0000 0.0000
Be4 0.5000 0.5000 0.5000
Ir1 0.2500 0.2500 0.7500
Ir2 0.2500 0.7500 0.2500
Ir3 0.7500 0.2500 0.2500
Ir4 0.7500 0.7500 0.7500
Au1 0.2500 0.2500 0.2500
Au2 0.2500 0.7500 0.7500
Au3 0.7500 0.2500 0.7500
Au4 0.7500 0.7500 0.2500

# CoHg4Cl | the Alexandria database | PBE | relaxed
# - energy relative to the elements, uncorrected (meV/atom) = 524
# - total magnetization (μB per cell) = 2.4
data_CoHg4Cl
_cell_length_a 5.9592
_cell_length_b 5.9592
_cell_length_c 5.9592
_cell_angle_alpha 60.00
_cell_angle_beta 60.00
_cell_angle_gamma 60.00
_space_group_name_H-M_alt 'P 1'
_space_group_IT_number 1
loop_
_space_group_symop_operation_xyz
'x,y,z'
loop_
_atom_site_label
_atom_site_fract_x
_atom_site_fract_y
_atom_site_fract_z
Co1 0.0000 0.0000 0.0000
Hg1 0.1239 0.6254 0.6254
Hg2 0.6254 0.1239 0.6254
Hg3 0.6254 0.6254 0.1239
Hg4 0.6254 0.6254 0.6254
Cl1 0.2500 0.2500 0.2500

# AcDySe2O8 | the Alexandria database | PBE | relaxed
# - energy relative to the elements, uncorrected (meV/atom) = -1740
# - total magnetization (μB per cell) = 1.3
data_AcDySe2O8
_cell_length_a 5.8827
_cell_length_b 5.8827
_cell_length_c 7.3575
_cell_angle_alpha 90.00
_cell_angle_beta 90.00
_cell_angle_gamma 120.00
_space_group_name_H-M_alt 'P 1'
_space_group_IT_number 1
loop_
_space_group_symop_operation_xyz
'x,y,z'
loop_
_atom_site_label
_atom_site_fract_x
_atom_site_fract_y
_atom_site_fract_z
Ac1 0.0000 0.0000 0.0000
Dy1 0.0000 0.0000 0.5000
Se1 0.3333 0.6667 0.7610
Se2 0.6667 0.3333 0.2390
O1 0.1555 0.3129 0.7179
O2 0.1574 0.8445 0.7179
O3 0.3129 0.1574 0.2821
O4 0.3333 0.6667 0.9890
O5 0.6667 0.3333 0.0110
O6 0.6871 0.8426 0.7179
O7 0.8426 0.1555 0.2821
O8 0.8445 0.6871 0.2821